No. 1
Material: MgTa2BiAs
Method: DFT, PBE-GGA
State: optimized geometry

Calculated values
The space group is No. 123. As for the formation enthalpy at 0 K: 1.863 eV/atom. For the magnetization, the calculation gives 0.20 μB per formula unit. The total energy comes out at -0.1802 hartree per atom.

abc: 4.9558 4.9558 5.0479
angles: 90.00 90.00 90.00
Element x y z (fractional)
Mg  0.0000  0.0000  0.0000
Ta  0.0000  0.5000  0.0000
Ta  0.5000  0.0000  0.0000
Bi  0.0000  0.0000  0.5000
As  0.5000  0.5000  0.5000

=====

No. 2
Material: MnBi2As
Method: DFT, PBE-GGA
State: optimized geometry

Calculated values
The space group is No. 122. As for the formation enthalpy at 0 K: 0.731 eV/atom. For the magnetization, the calculation gives 0.08 μB per formula unit. The total energy comes out at -0.1714 hartree per atom.

abc: 7.6557 7.6557 7.6557
angles: 131.82 131.82 70.51
Element x y z (fractional)
Mn  0.0000  0.0000  0.0000
Mn  0.7500  0.2500  0.5000
Bi  0.0833  0.6250  0.9583
Bi  0.3750  0.3333  0.4583
Bi  0.6667  0.1250  0.0417
Bi  0.8750  0.9167  0.5417
As  0.2500  0.7500  0.5000
As  0.5000  0.5000  0.0000

=====

No. 3
Material: MnBiAs3
Method: DFT, PBE-GGA
State: optimized geometry

Calculated values
The space group is No. 221. As for the formation enthalpy at 0 K: 0.350 eV/atom. For the magnetization, the calculation gives 0.00 μB per formula unit. The excess energy over the best structure of this formula in the dataset comes out at 0.0 meV/atom. The total energy comes out at -0.1856 hartree per atom.

abc: 4.7044 4.7044 4.7044
angles: 90.00 90.00 90.00
Element x y z (fractional)
Mn  0.0000  0.0000  0.0000
Bi  0.5000  0.5000  0.5000
As  0.0000  0.0000  0.5000
As  0.0000  0.5000  0.0000
As  0.5000  0.0000  0.0000

=====

No. 4
Material: Mn2BiAs
Method: DFT, PBE-GGA
State: optimized geometry

Calculated values
The space group is No. 122. As for the formation enthalpy at 0 K: 0.618 eV/atom. For the magnetization, the calculation gives 0.00 μB per formula unit. The total energy comes out at -0.2241 hartree per atom.

abc: 8.6816 8.6816 8.6816
angles: 151.16 151.16 41.24
Element x y z (fractional)
Mn  0.3750  0.2315  0.3565
Mn  0.7685  0.1250  0.1435
Mn  0.8750  0.0185  0.6435
Mn  0.9815  0.6250  0.8565
Bi  0.2500  0.7500  0.5000
Bi  0.5000  0.5000  0.0000
As  0.0000  0.0000  0.0000
As  0.7500  0.2500  0.5000

=====

No. 5
Material: MnBiAs2
Method: DFT, PBE-GGA
State: optimized geometry

Calculated values
The space group is No. 122. As for the formation enthalpy at 0 K: 0.275 eV/atom. For the magnetization, the calculation gives 0.00 μB per formula unit. The total energy comes out at -0.1952 hartree per atom.

abc: 7.0746 7.0746 7.0746
angles: 129.76 129.76 73.79
Element x y z (fractional)
Mn  0.0000  0.0000  0.0000
Mn  0.7500  0.2500  0.5000
Bi  0.2500  0.7500  0.5000
Bi  0.5000  0.5000  0.0000
As  0.0381  0.6250  0.9131
As  0.3750  0.2881  0.4131
As  0.7119  0.1250  0.0869
As  0.8750  0.9619  0.5869

=====

No. 6
Material: Mn2NbBiAs
Method: DFT, PBE-GGA
State: optimized geometry

Calculated values
The space group is No. 123. As for the formation enthalpy at 0 K: 1.171 eV/atom. For the magnetization, the calculation gives 6.08 μB per formula unit. The total energy comes out at -0.2285 hartree per atom.

abc: 4.8077 4.8077 5.4484
angles: 90.00 90.00 90.00
Element x y z (fractional)
Mn  0.0000  0.5000  0.0000
Mn  0.5000  0.0000  0.0000
Nb  0.0000  0.0000  0.0000
Bi  0.0000  0.0000  0.5000
As  0.5000  0.5000  0.5000

=====

No. 7
Material: MnNi7Bi2As2
Method: DFT, PBE-GGA
State: optimized geometry

Calculated values
The space group is No. 12. As for the formation enthalpy at 0 K: -0.090 eV/atom. For the magnetization, the calculation gives 3.91 μB per formula unit. The total energy comes out at -0.2076 hartree per atom.

abc: 3.6897 3.6897 14.5086
angles: 97.26 97.26 90.03
Element x y z (fractional)
Mn  0.0000  0.0000  0.0000
Ni  0.0610  0.5610  0.1224
Ni  0.3077  0.3077  0.6154
Ni  0.4390  0.9390  0.8776
Ni  0.5000  0.5000  0.0000
Ni  0.5610  0.0610  0.1224
Ni  0.6923  0.6923  0.3846
Ni  0.9390  0.4390  0.8776
Bi  0.2090  0.2090  0.4187
Bi  0.7910  0.7910  0.5813
As  0.3890  0.3890  0.7771
As  0.6110  0.6110  0.2229

=====

Taking the records one at a time from the top gives density of states at the Fermi level values of 1.570 1.453 0.872 1.496 0.794 0.973 0.577 states/eV per atom.